Below is a geometry-optimized HfNb2PPb structure, with properties calculated at the GGA-PBE level.

Results
Formation energy from the elements   1.18 eV/atom

```
HfNb2PPb
1.0
5.152 0.000 0.000
0.000 5.152 0.000
0.000 0.000 4.795
Hf Nb P Pb
1 2 1 1
Direct
0.000 0.000 0.000
0.000 0.500 0.000
0.500 0.000 0.000
0.000 0.000 0.500
0.500 0.500 0.500
```